Record 1
Here is crystalline As3PRu at its relaxed geometry from the Alexandria database. Energies are from GGA-PBE.

a b c (Å): 4.747 4.747 4.747
angles (deg): 90.00 90.00 90.00
Sites, in units of the cell vectors:
As  0.000  0.000  0.500
As  0.000  0.500  0.000
As  0.500  0.000  0.000
P  0.500  0.500  0.500
Ru  0.000  0.000  0.000

Formation energy   733 meV/atom
E   -0.1835 hartree per atom
Size of the total moment   0.000 Bohr magnetons per cell
Offset from the most stable computed form   0 meV/atom

---

Record 2
Here is crystalline AsPRu at its relaxed geometry from the Alexandria database. Energies are from GGA-PBE.

a b c (Å): 5.902 5.902 5.902
angles (deg): 90.00 90.00 90.00
Sites, in units of the cell vectors:
As  0.000  0.000  0.000
As  0.000  0.500  0.500
As  0.500  0.000  0.500
As  0.500  0.500  0.000
P  0.250  0.250  0.250
P  0.250  0.750  0.750
P  0.750  0.250  0.750
P  0.750  0.750  0.250
Ru  0.250  0.250  0.750
Ru  0.250  0.750  0.250
Ru  0.750  0.250  0.250
Ru  0.750  0.750  0.750

Formation energy   545 meV/atom
E   -0.2168 hartree per atom
Size of the total moment   0.000 Bohr magnetons per cell
Offset from the most stable computed form   1006 meV/atom

---

Record 3
Here is crystalline As2PRu at its relaxed geometry from the Alexandria database. Energies are from GGA-PBE.

a b c (Å): 3.036 4.551 4.568
angles (deg): 90.00 90.00 90.00
Sites, in units of the cell vectors:
As  0.000  0.000  0.000
As  0.500  0.500  0.000
P  0.000  0.500  0.500
Ru  0.500  0.000  0.500

Formation energy   469 meV/atom
E   -0.2031 hartree per atom
Size of the total moment   0.000 Bohr magnetons per cell

---

Record 4
Here is crystalline As2PRu at its relaxed geometry from the Alexandria database. Energies are from GGA-PBE.

a b c (Å): 2.926 4.273 11.041
angles (deg): 90.00 90.00 90.00
Sites, in units of the cell vectors:
As  0.000  0.000  0.000
As  0.000  0.500  0.173
As  0.500  0.000  0.673
As  0.500  0.500  0.500
P  0.000  0.000  0.383
P  0.500  0.500  0.883
Ru  0.000  0.500  0.715
Ru  0.500  0.000  0.215

Formation energy   207 meV/atom
E   -0.2127 hartree per atom
Size of the total moment   0.000 Bohr magnetons per cell

---

Record 5
Here is crystalline As2PRu at its relaxed geometry from the Alexandria database. Energies are from GGA-PBE.

a b c (Å): 3.362 3.362 19.933
angles (deg): 90.00 90.00 120.00
Sites, in units of the cell vectors:
As  0.000  0.000  0.248
As  0.000  0.000  0.752
As  0.333  0.667  0.419
As  0.333  0.667  0.914
As  0.667  0.333  0.086
As  0.667  0.333  0.581
P  0.000  0.000  0.500
P  0.333  0.667  0.167
P  0.667  0.333  0.833
Ru  0.000  0.000  0.000
Ru  0.333  0.667  0.667
Ru  0.667  0.333  0.333

Formation energy   158 meV/atom
E   -0.2145 hartree per atom
Size of the total moment   0.010 Bohr magnetons per cell

---

Record 6
Here is crystalline AsPRu at its relaxed geometry from the Alexandria database. Energies are from GGA-PBE.

a b c (Å): 5.834 5.834 5.834
angles (deg): 90.00 90.00 90.00
Sites, in units of the cell vectors:
As  0.000  0.000  0.000
As  0.000  0.500  0.500
As  0.500  0.000  0.500
As  0.500  0.500  0.000
P  0.250  0.250  0.250
P  0.250  0.750  0.750
P  0.750  0.250  0.750
P  0.750  0.750  0.250
Ru  0.000  0.000  0.500
Ru  0.000  0.500  0.000
Ru  0.500  0.000  0.000
Ru  0.500  0.500  0.500

Formation energy   351 meV/atom
E   -0.2239 hartree per atom
Size of the total moment   0.000 Bohr magnetons per cell
Offset from the most stable computed form   813 meV/atom

---

Record 7
Here is crystalline As2PRu at its relaxed geometry from the Alexandria database. Energies are from GGA-PBE.

a b c (Å): 7.633 3.472 5.734
angles (deg): 90.00 100.80 90.00
Sites, in units of the cell vectors:
As  0.000  0.000  0.000
As  0.227  0.500  0.379
As  0.500  0.500  0.000
As  0.727  0.000  0.379
P  0.167  0.000  0.710
P  0.667  0.500  0.710
Ru  0.455  0.000  0.646
Ru  0.955  0.500  0.646

Formation energy   -9 meV/atom
E   -0.2207 hartree per atom
Size of the total moment   0.000 Bohr magnetons per cell

---

Record 8
Here is crystalline As2PRu at its relaxed geometry from the Alexandria database. Energies are from GGA-PBE.

a b c (Å): 11.739 3.020 3.983
angles (deg): 90.00 99.93 90.00
Sites, in units of the cell vectors:
As  0.178  0.000  0.227
As  0.322  0.500  0.773
As  0.678  0.500  0.227
As  0.822  0.000  0.773
P  0.000  0.000  0.500
P  0.500  0.500  0.500
Ru  0.000  0.500  0.000
Ru  0.500  0.000  0.000

Formation energy   146 meV/atom
E   -0.2150 hartree per atom
Size of the total moment   0.000 Bohr magnetons per cell

---

Record 9
Here is crystalline As2PRu at its relaxed geometry from the Alexandria database. Energies are from GGA-PBE.

a b c (Å): 3.098 3.098 7.069
angles (deg): 90.00 90.00 90.00
Sites, in units of the cell vectors:
As  0.000  0.000  0.000
As  0.500  0.500  0.390
P  0.000  0.000  0.593
Ru  0.500  0.500  0.776

Formation energy   94 meV/atom
E   -0.2169 hartree per atom
Size of the total moment   0.494 Bohr magnetons per cell

---

Record 10
Here is crystalline AsPRu at its relaxed geometry from the Alexandria database. Energies are from GGA-PBE.

a b c (Å): 11.548 2.925 2.910
angles (deg): 90.00 96.83 90.00
Sites, in units of the cell vectors:
As  0.000  0.000  0.000
As  0.500  0.500  0.000
P  0.271  0.000  0.119
P  0.771  0.500  0.119
Ru  0.155  0.500  0.565
Ru  0.655  0.000  0.565

Formation energy   -76 meV/atom
E   -0.2396 hartree per atom
Size of the total moment   0.000 Bohr magnetons per cell
Offset from the most stable computed form   385 meV/atom

---

Record 11
Here is crystalline As3PRu at its relaxed geometry from the Alexandria database. Energies are from GGA-PBE.

a b c (Å): 4.575 4.575 4.575
angles (deg): 90.00 90.00 90.00
Sites, in units of the cell vectors:
As  0.000  0.000  0.500
As  0.000  0.500  0.000
As  0.500  0.000  0.000
P  0.000  0.000  0.000
Ru  0.500  0.500  0.500

Formation energy   1075 meV/atom
E   -0.1709 hartree per atom
Size of the total moment   0.000 Bohr magnetons per cell
Offset from the most stable computed form   343 meV/atom

---

Record 12
Here is crystalline AsPRu at its relaxed geometry from the Alexandria database. Energies are from GGA-PBE.

a b c (Å): 2.896 2.896 11.703
angles (deg): 90.00 90.00 90.00
Sites, in units of the cell vectors:
As  0.000  0.000  0.000
As  0.500  0.500  0.500
P  0.000  0.000  0.731
P  0.500  0.500  0.231
Ru  0.000  0.000  0.347
Ru  0.500  0.500  0.847

Formation energy   -78 meV/atom
E   -0.2397 hartree per atom
Size of the total moment   0.000 Bohr magnetons per cell
Offset from the most stable computed form   384 meV/atom

---

Record 13
Here is crystalline As2PRu at its relaxed geometry from the Alexandria database. Energies are from GGA-PBE.

a b c (Å): 4.266 4.266 6.927
angles (deg): 90.00 90.00 90.00
Sites, in units of the cell vectors:
As  0.000  0.000  0.000
As  0.000  0.500  0.250
As  0.500  0.000  0.750
As  0.500  0.500  0.500
P  0.000  0.500  0.750
P  0.500  0.000  0.250
Ru  0.000  0.000  0.500
Ru  0.500  0.500  0.000

Formation energy   401 meV/atom
E   -0.2056 hartree per atom
Size of the total moment   0.000 Bohr magnetons per cell

---

Record 14
Here is crystalline As2PRu at its relaxed geometry from the Alexandria database. Energies are from GGA-PBE.

a b c (Å): 4.568 4.568 3.019
angles (deg): 90.00 90.00 90.00
Sites, in units of the cell vectors:
As  0.000  0.500  0.000
As  0.500  0.000  0.000
P  0.000  0.000  0.500
Ru  0.500  0.500  0.500

Formation energy   486 meV/atom
E   -0.2025 hartree per atom
Size of the total moment   0.000 Bohr magnetons per cell